A plane-wave DFT calculation with GGA-PBE was carried out for a relaxed CaSiOs crystal.

Cell and atoms, written as POSCAR:
```
CaSiOs
1.0
-2.2018 5.0990 1.7868
-4.2806 2.8821 2.7221
0.9716 0.3575 3.0065
Si Ca Os
1 1 1
Direct
0.7052 0.7052 0.2948
0.9982 0.9982 0.0018
0.2966 0.2966 0.7034
```

Results
size of the total moment: 0.000 μB/atom
ΔE_f (raw): -0.27 eV/atom
symmetry: I4mm, No. 107
calculated density: 7.88 g/cm3